The following is a DFT calculation (PBE+U) of a relaxed structure of BaGeWO2.

- magnetic moment (μB/atom) = 0.99
- energy (eV for the cell shown) = -23.626

Cell: 4.525 4.994 4.525 Å, 90.00 90.00 90.00°
Element x y z (fractional)
1 O 0.000 0.000 0.500
2 O 0.500 0.000 0.000
3 Ba 0.500 0.500 0.500
4 Ge 0.000 0.000 0.000
5 W 0.000 0.500 0.000